(1)
Below is an optimized crystal structure of SrTlHg, with properties calculated at the GGA-PBEsol level.

## Properties
- Uncorrected energy: -2.089 eV per atom
- Formation energy from the elements: -0.41 eV/atom
- Theoretical density: 9.5 g cm⁻³
- Relative energy among the computed polymorphs: 0.069 eV per atom

The structure in POSCAR format:
```
SrTlHg
1.0
-1.923 1.923 5.790
1.923 -1.923 5.790
1.923 1.923 -5.790
Sr Tl Hg
1 1 1
Cartesian
0.000 0.000 0.000 Sr
0.000 0.000 7.980 Tl
0.000 0.000 3.863 Hg
```



(2)
Below is an optimized crystal structure of SrTl2Hg, with properties calculated at the GGA-PBEsol level.

## Properties
- Uncorrected energy: -2.264 eV per atom
- Formation energy from the elements: -0.35 eV/atom
- Theoretical density: 10.5 g cm⁻³

The structure in POSCAR format:
```
SrTl2Hg
1.0
-2.705 2.705 3.756
2.705 -2.705 3.756
2.705 2.705 -3.756
Sr Tl Hg
1 2 1
Cartesian
0.000 0.000 0.000 Sr
2.705 0.000 1.878 Tl
0.000 0.000 3.756 Tl
0.000 2.705 1.878 Hg
```



(3)
Below is an optimized crystal structure of Sr3TlHg, with properties calculated at the GGA-PBEsol level.

## Properties
- Uncorrected energy: -1.826 eV per atom
- Formation energy from the elements: -0.08 eV/atom
- Theoretical density: 4.9 g cm⁻³

The structure in POSCAR format:
```
Sr3TlHg
1.0
6.104 0.000 0.000
0.000 6.104 0.000
0.000 0.000 6.104
Sr Tl Hg
3 1 1
Cartesian
0.000 0.000 3.052 Sr
0.000 3.052 0.000 Sr
3.052 0.000 0.000 Sr
3.052 3.052 3.052 Tl
0.000 0.000 0.000 Hg
```



(4)
Below is an optimized crystal structure of SrTlHg, with properties calculated at the GGA-PBEsol level.

## Properties
- Uncorrected energy: -2.041 eV per atom
- Formation energy from the elements: -0.36 eV/atom
- Theoretical density: 8.6 g cm⁻³
- Relative energy among the computed polymorphs: 0.117 eV per atom

The structure in POSCAR format:
```
SrTlHg
1.0
0.000 3.626 3.626
3.626 0.000 3.626
3.626 3.626 0.000
Sr Tl Hg
1 1 1
Cartesian
0.000 0.000 0.000 Sr
3.626 3.626 3.626 Tl
1.813 1.813 1.813 Hg
```



(5)
Below is an optimized crystal structure of SrTl2Hg, with properties calculated at the GGA-PBEsol level.

## Properties
- Uncorrected energy: -2.203 eV per atom
- Formation energy from the elements: -0.29 eV/atom
- Theoretical density: 9.9 g cm⁻³

The structure in POSCAR format:
```
SrTl2Hg
1.0
3.866 0.000 0.000
0.000 4.844 0.000
-1.265 0.000 6.244
Sr Tl Hg
1 2 1
Cartesian
0.000 0.000 0.000 Sr
0.737 0.000 3.266 Tl
2.518 2.422 2.191 Tl
0.653 2.422 5.058 Hg
```



(6)
Below is an optimized crystal structure of SrTl2Hg2, with properties calculated at the GGA-PBEsol level.

## Properties
- Uncorrected energy: -1.976 eV per atom
- Formation energy from the elements: -0.33 eV/atom
- Theoretical density: 10.8 g cm⁻³
- Relative energy among the computed polymorphs: 0.000 eV per atom

The structure in POSCAR format:
```
SrTl2Hg2
1.0
10.676 0.000 0.000
0.000 10.676 0.000
0.000 0.000 4.838
Sr Tl Hg
4 8 8
Cartesian
1.514 1.514 0.000 Sr
3.823 6.852 2.419 Sr
6.852 3.823 2.419 Sr
9.161 9.161 0.000 Sr
0.232 3.780 2.419 Tl
1.558 5.569 0.000 Tl
3.780 0.232 2.419 Tl
5.106 9.118 0.000 Tl
5.569 1.558 0.000 Tl
6.895 10.444 2.419 Tl
9.118 5.106 0.000 Tl
10.444 6.895 2.419 Tl
1.009 9.666 2.419 Hg
2.087 8.589 0.000 Hg
3.251 3.251 2.419 Hg
4.329 4.329 0.000 Hg
6.347 6.347 0.000 Hg
7.425 7.425 2.419 Hg
8.589 2.087 0.000 Hg
9.666 1.009 2.419 Hg
```



(7)
Below is an optimized crystal structure of SrTl2Hg2, with properties calculated at the GGA-PBEsol level.

## Properties
- Uncorrected energy: -1.943 eV per atom
- Formation energy from the elements: -0.30 eV/atom
- Theoretical density: 10.4 g cm⁻³
- Relative energy among the computed polymorphs: 0.033 eV per atom

The structure in POSCAR format:
```
SrTl2Hg2
1.0
-2.350 2.350 6.456
2.350 -2.350 6.456
2.350 2.350 -6.456
Sr Tl Hg
1 2 2
Cartesian
0.000 0.000 0.000 Sr
2.350 0.000 3.228 Tl
0.000 2.350 3.228 Tl
0.000 0.000 5.082 Hg
0.000 0.000 7.831 Hg
```



(8)
Below is an optimized crystal structure of Sr3HgW, with properties calculated at the GGA-PBEsol level.

## Properties
- Uncorrected energy: -3.051 eV per atom
- Formation energy from the elements: 0.93 eV/atom
- Theoretical density: 5.8 g cm⁻³

The structure in POSCAR format:
```
Sr3HgW
1.0
5.699 0.000 0.000
0.000 5.699 0.000
0.000 0.000 5.699
Sr Hg W
3 1 1
Cartesian
0.000 0.000 2.850 Sr
0.000 2.850 0.000 Sr
2.850 0.000 0.000 Sr
2.850 2.850 2.850 Hg
0.000 0.000 0.000 W
```